Below is a relaxed HfZrHgPb crystal, with properties calculated at the PBE-GGA level.

Computed properties:
energy of formation from the pure elements	0.0567	eV per atom

a b c (Å): 7.121 7.121 7.121
angles (deg): 90.00 90.00 90.00
Space group F-43m (No. 216)
Unique sites:
Hf  0.000  0.000  0.000 x4
Zr  0.000  0.000  0.500 x4
Hg  0.250  0.250  0.750 x4
Pb  0.250  0.250  0.250 x4

Below is a relaxed Cs2KSr2 crystal, with properties calculated at the PBE-GGA level.

Computed properties:
ΔE to the lowest computed polymorph	5	meV/atom
energy of formation from the pure elements	0.2190	eV per atom

a b c (Å): 13.209 13.209 4.743
angles (deg): 90.00 90.00 90.00
Space group P4/mbm (No. 127)
Unique sites:
Cs  0.180  0.320  0.000 x4
K  0.000  0.000  0.500 x2
Sr  0.113  0.613  0.500 x4

Below is a relaxed HoMnAl3 crystal, with properties calculated at the PBE-GGA level.

Computed properties:
ΔE to the lowest computed polymorph	50	meV/atom
energy of formation from the pure elements	-0.2066	eV per atom

a b c (Å): 4.537 4.537 4.537
angles (deg): 90.00 90.00 90.00
Space group Pm-3m (No. 221)
Unique sites:
Ho  0.000  0.000  0.000 x1
Mn  0.500  0.500  0.500 x1
Al  0.000  0.500  0.500 x3